# 1
Entry from the Alexandria database: an optimized crystal structure of AcAgPdRh (GGA-PBE).

a = 4.9147 Å, b = 4.9147 Å, c = 4.9147 Å
α = 60.00°, β = 60.00°, γ = 60.00°
With the nearest neighbours (Å) after each atom.
Sites, in units of the cell vectors:
Rh  0.0000  0.0000  0.0000  4 Ac 3.01, 4 Ag 3.01
Pd  0.5000  0.5000  0.5000  4 Ac 3.01, 4 Ag 3.01
Ag  0.2500  0.2500  0.2500  4 Rh 3.01, 4 Pd 3.01
Ac  0.7500  0.7500  0.7500  4 Rh 3.01, 4 Pd 3.01

Calculated volume in Å³/cell: 83.9
Magnetization in μB/f.u.: 0.00
Formation energy from the elements in meV per atom: -335



# 2
Entry from the Alexandria database: an optimized crystal structure of AcAgSb2Pd5 (GGA-PBE).

a = 4.8516 Å, b = 4.8516 Å, c = 8.3975 Å
α = 90.00°, β = 90.00°, γ = 90.00°
With the nearest neighbours (Å) after each atom.
Sites, in units of the cell vectors:
Sb  0.5000  0.5000  0.8324  5 Pd 2.59-2.79, 1 Sb 2.81
Ac  0.0000  0.0000  0.5000  12 Pd 3.07-3.43
Ag  0.0000  0.0000  0.0000  8 Pd 3.35, 8 Sb 3.71
Pd  0.5000  0.0000  0.7242  2 Sb 2.59
Pd  0.0000  0.5000  0.2758  2 Sb 2.59
Sb  0.5000  0.5000  0.1676  5 Pd 2.59-2.79, 1 Sb 2.81
Pd  0.5000  0.5000  0.5000  2 Sb 2.79, 8 Pd 3.07
Pd  0.0000  0.5000  0.7242  2 Sb 2.59
Pd  0.5000  0.0000  0.2758  2 Sb 2.59

Calculated volume in Å³/cell: 197.7
Magnetization in μB/f.u.: 0.00
Raw formation energy in meV/atom: -371



> What is the magnetization in the first record?

0.00 μB/f.u.



> Which value of magnetization does entry 1 give?

0.00 μB/f.u.